# 1
Material: Li2TiAu
Method: DFT, GGA-PBE
State: optimized geometry

The total energy comes out at -3.97 eV per atom. The calculation puts the energy of formation from the pure elements at -0.22 eV per atom. The density of states at the Fermi level comes out at 9.4 states/eV/cell.

```
data_Li2TiAu
_space_group_name_H-M_alt 'C 1 2/m 1'
_space_group_IT_number 12
_space_group_name_Hall '-C 2y'
_cell_length_a 10.036
_cell_length_b 2.969
_cell_length_c 9.868
_cell_angle_alpha 90.00
_cell_angle_beta 115.95
_cell_angle_gamma 90.00
loop_
_atom_site_label
_atom_site_type_symbol
_atom_site_fract_x
_atom_site_fract_y
_atom_site_fract_z
Li1 Li 0.127 0.000 0.460
Li2 Li 0.132 0.500 0.717
Ti1 Ti 0.131 0.000 0.986
Au1 Au 0.121 0.500 0.227
```

# 2
Material: LiTiAu2
Method: DFT, GGA-PBE
State: optimized geometry

The total energy comes out at -4.14 eV per atom. The calculation puts the energy of formation from the pure elements at -0.05 eV per atom. The density of states at the Fermi level comes out at 22.1 states/eV/cell.

```
data_LiTiAu2
_space_group_name_H-M_alt 'I -4 2 d'
_space_group_IT_number 122
_space_group_name_Hall 'I -4 2bw'
_cell_length_a 7.154
_cell_length_b 7.154
_cell_length_c 5.540
_cell_angle_alpha 90.00
_cell_angle_beta 90.00
_cell_angle_gamma 90.00
loop_
_atom_site_label
_atom_site_type_symbol
_atom_site_fract_x
_atom_site_fract_y
_atom_site_fract_z
Li1 Li 0.000 0.000 0.000
Ti1 Ti 0.000 0.000 0.500
Au1 Au 0.233 0.750 0.125
```

# 3
Material: Li2TiAu
Method: DFT, GGA-PBE
State: optimized geometry

The total energy comes out at -3.95 eV per atom. The calculation puts the energy of formation from the pure elements at -0.20 eV per atom. The density of states at the Fermi level comes out at 10.1 states/eV/cell.

```
data_Li2TiAu
_space_group_name_H-M_alt 'C 1 m 1'
_space_group_IT_number 8
_space_group_name_Hall 'C -2y'
_cell_length_a 9.837
_cell_length_b 3.166
_cell_length_c 9.130
_cell_angle_alpha 90.00
_cell_angle_beta 115.47
_cell_angle_gamma 90.00
loop_
_atom_site_label
_atom_site_type_symbol
_atom_site_fract_x
_atom_site_fract_y
_atom_site_fract_z
Li1 Li 0.000 0.000 0.000
Li2 Li 0.006 0.500 0.761
Li3 Li 0.245 0.000 0.900
Li4 Li 0.476 0.000 0.225
Ti1 Ti 0.006 0.000 0.492
Ti2 Ti 0.261 0.000 0.413
Au1 Au 0.237 0.500 0.150
Au2 Au 0.261 0.500 0.663
```

# 4
Material: Li2TiAu
Method: DFT, GGA-PBE
State: optimized geometry

The total energy comes out at -3.93 eV per atom. The calculation puts the energy of formation from the pure elements at -0.18 eV per atom. The density of states at the Fermi level comes out at 5.9 states/eV/cell.

```
data_Li2TiAu
_space_group_name_H-M_alt 'P 1 m 1'
_space_group_IT_number 6
_space_group_name_Hall 'P -2y'
_cell_length_a 4.707
_cell_length_b 3.054
_cell_length_c 9.234
_cell_angle_alpha 90.00
_cell_angle_beta 98.56
_cell_angle_gamma 90.00
loop_
_atom_site_label
_atom_site_type_symbol
_atom_site_fract_x
_atom_site_fract_y
_atom_site_fract_z
Li1 Li 0.000 0.000 0.000
Li2 Li 0.023 0.500 0.264
Li3 Li 0.065 0.500 0.738
Li4 Li 0.540 0.000 0.750
Ti1 Ti 0.519 0.000 0.239
Ti2 Ti 0.589 0.500 0.481
Au1 Au 0.094 0.000 0.497
Au2 Au 0.508 0.500 0.988
```